Entry from Alexandria: a relaxed structure of Ta4SeCl (PBE).

abc: 5.5842 5.5842 5.5842
angles: 60.00 60.00 60.00
Fractional positions:
Ta 0.1231 0.1231 0.1231
Ta 0.1231 0.1231 0.6306
Ta 0.1231 0.6306 0.1231
Ta 0.6306 0.1231 0.1231
Se 0.5000 0.5000 0.5000
Cl 0.7500 0.7500 0.7500

Calculated values
Space group: F-43m
ρ: 11.30 g/cm3
Formation energy from raw total energies: 0.91 eV/atom
Volume: 123.1 Å³ per cell

Entry from Alexandria: a relaxed structure of Ce9TlIn2 (PBE).

abc: 4.8108 4.8108 14.4408
angles: 90.00 90.00 90.00
Fractional positions:
Ce 0.0000 0.0000 0.0000
Ce 0.0000 0.0000 0.3344
Ce 0.0000 0.0000 0.6656
Ce 0.0000 0.5000 0.1680
Ce 0.0000 0.5000 0.5000
Ce 0.0000 0.5000 0.8320
Ce 0.5000 0.0000 0.1680
Ce 0.5000 0.0000 0.5000
Ce 0.5000 0.0000 0.8320
Tl 0.5000 0.5000 0.0000
In 0.5000 0.5000 0.3337
In 0.5000 0.5000 0.6663

Calculated values
Space group: P4/mmm
ρ: 8.42 g/cm3
E_form: -2.0 eV/f.u.
Volume: 334.2 Å³ per cell